Below is crystalline BC at its relaxed geometry, with properties calculated at the GGA-PBE level.

abc: 6.6297 6.6297 4.6184
angles: 100.24 100.24 23.36
With the nearest neighbours (Å) after each atom.
Atoms (fractional coordinates):
B 0.0000 0.0000 0.0000  2 C 1.67-1.73, 2 B 1.76
B 0.2913 0.2913 0.9243  1 C 1.60, 3 B 1.75
B 0.4238 0.4238 0.0864  5 B 1.73-1.76
B 0.5114 0.5114 0.5761  3 C 1.53-1.57
B 0.6596 0.6596 0.9449  3 C 1.61-1.63
B 0.8454 0.8454 0.1439  1 C 1.64, 4 B 1.73-1.75
C 0.1347 0.1347 0.1126  1 C 1.55, 3 B 1.61-1.73
C 0.1681 0.1681 0.4524  4 C 1.54-1.59
C 0.2866 0.2866 0.5748  3 C 1.54-1.59, 1 B 1.60
C 0.6298 0.6298 0.5858  2 B 1.53-1.63, 2 C 1.59
C 0.8414 0.8414 0.4958  3 C 1.52-1.59, 1 B 1.64
C 0.9567 0.9567 0.6368  1 C 1.52, 3 B 1.57-1.67

Calculated values
SG ... Cm (8)
Formation enthalpy at 0 K ... 0.401 eV per atom
Polymorph energy (0 for the lowest one) ... 250 meV per atom
Total moment ... 0.00 μB per formula unit